An optimized crystal structure of Np2CuP4Ir3. Source: the Alexandria database, functional PBE.

Summary:
Its total DFT energy (no corrections) is -8.427 eV per atom. The calculation puts the total magnetization at 0.697 μB per atom. The energy of formation comes out at -607 meV/atom.

a = 4.176 Å, b = 4.176 Å, c = 9.379 Å
α = 90.00°, β = 90.00°, γ = 90.00°
Space group P-4m2 (No. 115)
One atom of each set of equivalent atoms:
Np 0.000 0.500 0.248
Cu 0.000 0.000 0.500
P 0.000 0.000 0.000
P 0.000 0.500 0.635
P 0.500 0.500 0.000
Ir 0.000 0.500 0.886
Ir 0.500 0.500 0.500